The following is a PBE+U calculation of a geometry-optimized CaFeSi4O10 structure, from Alexandria.

a = 7.468 Å, b = 7.468 Å, c = 15.398 Å
α = 90.00°, β = 90.00°, γ = 90.00°
Atoms (fractional coordinates):
Ca1 0.500 0.500 0.500
Ca2 0.000 0.000 0.500
Ca3 0.000 0.000 0.000
Ca4 0.500 0.500 0.000
Fe1 0.500 0.000 0.580
Fe2 0.000 0.500 0.920
Fe3 0.000 0.500 0.420
Fe4 0.500 0.000 0.080
Si1 0.171 0.252 0.648
Si2 0.829 0.748 0.648
Si3 0.252 0.171 0.852
Si4 0.752 0.329 0.648
Si5 0.248 0.671 0.648
Si6 0.329 0.752 0.852
Si7 0.671 0.248 0.852
Si8 0.748 0.829 0.852
Si9 0.329 0.248 0.352
Si10 0.671 0.752 0.352
Si11 0.248 0.329 0.148
Si12 0.748 0.171 0.352
Si13 0.252 0.829 0.352
Si14 0.171 0.748 0.148
Si15 0.829 0.252 0.148
Si16 0.752 0.671 0.148
O1 0.249 0.105 0.582
O2 0.751 0.895 0.582
O3 0.105 0.249 0.918
O4 0.605 0.251 0.582
O5 0.395 0.749 0.582
O6 0.251 0.605 0.918
O7 0.749 0.395 0.918
O8 0.895 0.751 0.918
O9 0.251 0.395 0.418
O10 0.749 0.605 0.418
O11 0.395 0.251 0.082
O12 0.895 0.249 0.418
O13 0.105 0.751 0.418
O14 0.249 0.895 0.082
O15 0.751 0.105 0.082
O16 0.251 0.047 0.372
O17 0.605 0.749 0.082
O18 0.751 0.547 0.628
O19 0.453 0.249 0.872
O20 0.953 0.251 0.628
O21 0.047 0.749 0.628
O22 0.251 0.953 0.872
O23 0.749 0.047 0.872
O24 0.547 0.751 0.872
O25 0.706 0.706 0.250
O26 0.794 0.206 0.250
O27 0.206 0.794 0.250
O28 0.294 0.294 0.250
O29 0.794 0.794 0.750
O30 0.706 0.294 0.750
O31 0.294 0.706 0.750
O32 0.206 0.206 0.750
O33 0.953 0.749 0.128
O34 0.751 0.453 0.128
O35 0.249 0.547 0.128
O36 0.453 0.751 0.372
O37 0.547 0.249 0.372
O38 0.047 0.251 0.128
O39 0.749 0.953 0.372
O40 0.249 0.453 0.628

* space group: P4/ncc, No. 130
* VASP energy: -0.5602 Ry per atom
* DOS(E_F): 0.000 states/eV/atom
* total moment: 16.04 Bohr magnetons per cell